Arrangement A

First-principles (PBE) data for a geometry-optimized Pm4Ga3Au structure, as listed in Alexandria.

Unit cell a=4.2760 b=4.3128 c=11.2897 alpha=90.00 beta=90.00 gamma=90.00
Space group Pmm2 (No. 25)
Asymmetric unit:
Pm  0.0000  0.0000  0.0000 x1
Pm  0.0000  0.5000  0.2808 x1
Pm  0.5000  0.0000  0.4982 x1
Pm  0.5000  0.5000  0.7831 x1
Ga  0.0000  0.0000  0.7119 x1
Ga  0.0000  0.5000  0.5692 x1
Ga  0.5000  0.5000  0.0597 x1
Au  0.5000  0.0000  0.2183 x1

Output
The calculation puts the density of states at the Fermi level at 9.7 states/eV per cell.

=====

Arrangement B

First-principles (PBE) data for a geometry-optimized Pm4Ga3Au structure, as listed in Alexandria.

Unit cell a=5.1631 b=5.1631 c=7.5169 alpha=90.00 beta=90.00 gamma=90.00
Space group P4/mmm (No. 123)
Asymmetric unit:
Pm  0.0000  0.5000  0.2484 x4
Ga  0.0000  0.0000  0.0000 x1
Ga  0.0000  0.0000  0.5000 x1
Ga  0.5000  0.5000  0.0000 x1
Au  0.5000  0.5000  0.5000 x1

Output
The calculation puts the density of states at the Fermi level at 7.2 states/eV per cell.

=====

Most stable of them? arrangement A.

=====

Arrangement A

First-principles (PBE) data for a geometry-optimized Pm3Ga4Au4 structure, as listed in Alexandria.

Unit cell a=28.4181 b=3.8448 c=4.4585 alpha=90.00 beta=98.97 gamma=90.00
Space group C2/m (No. 12)
Asymmetric unit:
Pm  0.0000  0.0000  0.0000 x2
Pm  0.1445  0.0000  0.6452 x4
Ga  0.0959  0.5000  0.0968 x4
Ga  0.2445  0.5000  0.7447 x4
Au  0.0498  0.5000  0.5508 x4
Au  0.1880  0.5000  0.1888 x4

Output
The calculation puts the density of states at the Fermi level at 13.9 states/eV per cell.

=====

Arrangement B

First-principles (PBE) data for a geometry-optimized Pm3Ga4Au4 structure, as listed in Alexandria.

Unit cell a=3.8324 b=4.5823 c=27.1136 alpha=90.00 beta=90.00 gamma=90.00
Space group Immm (No. 71)
Asymmetric unit:
Pm  0.0000  0.0000  0.0000 x2
Pm  0.0000  0.5000  0.1443 x4
Ga  0.0000  0.0000  0.4525 x4
Ga  0.0000  0.5000  0.3101 x4
Au  0.0000  0.0000  0.2608 x4
Au  0.0000  0.5000  0.4060 x4

Output
The calculation puts the density of states at the Fermi level at 12.9 states/eV per cell.

=====

Most stable of them? arrangement A.

=====

Arrangement A

First-principles (PBE) data for a geometry-optimized PrGa3Au3 structure, as listed in Alexandria.

Unit cell a=8.3242 b=8.3242 c=15.6933 alpha=90.00 beta=90.00 gamma=120.00
Space group R-3 (No. 148, hexagonal axes)
Asymmetric unit:
Pr  0.0000  0.0000  0.1655 x6
Ga  0.0027  0.7093  0.4288 x18
Au  0.0003  0.3292  0.0651 x18

Output
The calculation puts the density of states at the Fermi level at 10.8 states/eV per cell.

=====

Arrangement B

First-principles (PBE) data for a geometry-optimized PrGa3Au3 structure, as listed in Alexandria.

Unit cell a=7.0210 b=7.0210 c=7.0210 alpha=90.00 beta=90.00 gamma=90.00
Space group Pm-3n (No. 223)
Asymmetric unit:
Pr  0.0000  0.0000  0.0000 x2
Ga  0.0000  0.2500  0.5000 x6
Au  0.0000  0.5000  0.2500 x6

Output
The calculation puts the density of states at the Fermi level at 7.9 states/eV per cell.

=====

Arrangement C

First-principles (PBE) data for a geometry-optimized PrGa3Au3 structure, as listed in Alexandria.

Unit cell a=9.1020 b=9.1020 c=4.8223 alpha=90.00 beta=90.00 gamma=120.00
Space group P6_3/m (No. 176)
Asymmetric unit:
Pr  0.3333  0.6667  0.2500 x2
Ga  0.0308  0.6725  0.7500 x6
Au  0.0741  0.3996  0.7500 x6

Output
The calculation puts the density of states at the Fermi level at 5.0 states/eV per cell.

=====

Most stable of them? arrangement C.

=====

Arrangement A

First-principles (PBE) data for a geometry-optimized Pr2GaAu3 structure, as listed in Alexandria.

Unit cell a=4.0648 b=4.2623 c=17.1072 alpha=90.00 beta=90.00 gamma=90.00
Space group Imm2 (No. 44)
Asymmetric unit:
Pr  0.0000  0.0000  0.0000 x2
Pr  0.0000  0.5000  0.2493 x2
Ga  0.0000  0.0000  0.5855 x2
Au  0.0000  0.0000  0.4332 x2
Au  0.0000  0.5000  0.6639 x2
Au  0.0000  0.5000  0.8254 x2

Output
The calculation puts the density of states at the Fermi level at 8.2 states/eV per cell.

=====

Arrangement B

First-principles (PBE) data for a geometry-optimized Pr2GaAu3 structure, as listed in Alexandria.

Unit cell a=3.6969 b=4.6698 c=8.1942 alpha=90.00 beta=90.00 gamma=90.00
Space group Pmm2 (No. 25)
Asymmetric unit:
Pr  0.0000  0.0000  0.0000 x1
Pr  0.0000  0.5000  0.4841 x1
Ga  0.5000  0.5000  0.8184 x1
Au  0.5000  0.0000  0.3326 x1
Au  0.5000  0.0000  0.6749 x1
Au  0.5000  0.5000  0.1407 x1

Output
The calculation puts the density of states at the Fermi level at 3.4 states/eV per cell.

=====

Most stable of them? arrangement B.

=====

Arrangement A

First-principles (PBE) data for a geometry-optimized Pr6Ga2Au structure, as listed in Alexandria.

Unit cell a=6.5123 b=8.4904 c=11.5800 alpha=90.00 beta=120.10 gamma=90.00
Space group P2_1/c (No. 14)
Asymmetric unit:
Pr  0.0828  0.0491  0.2271 x4
Pr  0.1782  0.6933  0.0663 x4
Pr  0.4173  0.1591  0.0587 x4
Ga  0.3179  0.1214  0.7448 x4
Au  0.5000  0.0000  0.5000 x2

Output
The calculation puts the density of states at the Fermi level at 19.5 states/eV per cell.

=====

Arrangement B

First-principles (PBE) data for a geometry-optimized Pr6Ga2Au structure, as listed in Alexandria.

Unit cell a=10.0127 b=10.1724 c=10.5826 alpha=90.00 beta=90.00 gamma=90.00
Space group Immm (No. 71)
Asymmetric unit:
Pr  0.0000  0.2085  0.1722 x8
Pr  0.1741  0.2331  0.5000 x8
Pr  0.1937  0.5000  0.2442 x8
Ga  0.0000  0.0000  0.3782 x4
Ga  0.1402  0.0000  0.0000 x4
Au  0.0000  0.5000  0.0000 x2
Au  0.0000  0.5000  0.5000 x2

Output
The calculation puts the density of states at the Fermi level at 39.1 states/eV per cell.

=====

Most stable of them? arrangement B.

=====

Arrangement A

First-principles (PBE) data for a geometry-optimized Pr2Ga5Au3 structure, as listed in Alexandria.

Unit cell a=4.3563 b=4.3563 c=10.9651 alpha=90.00 beta=90.00 gamma=90.00
Space group P-4m2 (No. 115)
Asymmetric unit:
Pr  0.0000  0.5000  0.2473 x2
Ga  0.0000  0.0000  0.5000 x1
Ga  0.0000  0.5000  0.8633 x2
Ga  0.5000  0.5000  0.0000 x1
Ga  0.5000  0.5000  0.5000 x1
Au  0.0000  0.0000  0.0000 x1
Au  0.0000  0.5000  0.6335 x2

Output
The calculation puts the density of states at the Fermi level at 3.4 states/eV per cell.

=====

Arrangement B

First-principles (PBE) data for a geometry-optimized Pr2Ga5Au3 structure, as listed in Alexandria.

Unit cell a=10.7345 b=12.3672 c=6.2382 alpha=90.00 beta=90.00 gamma=90.00
Space group Ibam (No. 72)
Asymmetric unit:
Pr  0.2387  0.1269  0.0000 x8
Ga  0.0000  0.0000  0.2500 x4
Ga  0.0000  0.2672  0.2500 x8
Ga  0.1465  0.3836  0.0000 x8
Au  0.0000  0.5000  0.2500 x4
Au  0.1199  0.1336  0.5000 x8

Output
The calculation puts the density of states at the Fermi level at 15.8 states/eV per cell.

=====

Most stable of them? arrangement B.

=====

Arrangement A

First-principles (PBE) data for a geometry-optimized PrGaAu3 structure, as listed in Alexandria.

Unit cell a=4.3654 b=4.3654 c=11.3716 alpha=90.00 beta=90.00 gamma=90.00
Space group I4mm (No. 107)
Asymmetric unit:
Pr  0.0000  0.0000  0.0000 x2
Ga  0.0000  0.0000  0.3796 x2
Au  0.0000  0.0000  0.5979 x2
Au  0.0000  0.5000  0.2591 x4

Output
The calculation puts the density of states at the Fermi level at 4.6 states/eV per cell.

=====

Arrangement B

First-principles (PBE) data for a geometry-optimized PrGaAu3 structure, as listed in Alexandria.

Unit cell a=9.1398 b=4.9893 c=9.2646 alpha=90.00 beta=90.00 gamma=90.00
Space group Pnma (No. 62)
Asymmetric unit:
Pr  0.2371  0.2500  0.0028 x4
Ga  0.1015  0.2500  0.6657 x4
Au  0.0784  0.2500  0.3850 x4
Au  0.1015  0.7500  0.8529 x4
Au  0.1129  0.7500  0.1656 x4

Output
The calculation puts the density of states at the Fermi level at 9.8 states/eV per cell.

=====

Most stable of them? arrangement B.

=====

Arrangement A

First-principles (PBE) data for a geometry-optimized Pr8GaAu2 structure, as listed in Alexandria.

Unit cell a=8.9824 b=14.4005 c=5.6046 alpha=90.00 beta=108.26 gamma=90.00
Space group Cm (No. 8)
Asymmetric unit:
Pr  0.0000  0.0000  0.0000 x2
Pr  0.0822  0.3851  0.7685 x4
Pr  0.1882  0.1148  0.6051 x4
Pr  0.2696  0.5000  0.3730 x2
Pr  0.3854  0.2300  0.1867 x4
Ga  0.3846  0.0000  0.1844 x2
Au  0.3851  0.3105  0.6864 x4

Output
The calculation puts the density of states at the Fermi level at 32.2 states/eV per cell.

=====

Arrangement B

First-principles (PBE) data for a geometry-optimized Pr8GaAu2 structure, as listed in Alexandria.

Unit cell a=18.9607 b=5.2759 c=7.1849 alpha=90.00 beta=109.19 gamma=90.00
Space group C2/m (No. 12)
Asymmetric unit:
Pr  0.0213  0.0000  0.2770 x4
Pr  0.0906  0.5000  0.9679 x4
Pr  0.1697  0.5000  0.4923 x4
Pr  0.1978  0.0000  0.8381 x4
Ga  0.0000  0.5000  0.5000 x2
Au  0.1739  0.0000  0.2331 x4

Output
The calculation puts the density of states at the Fermi level at 23.4 states/eV per cell.

=====

Most stable of them? arrangement B.

=====

Arrangement A

First-principles (PBE) data for a geometry-optimized PrSmGaAu structure, as listed in Alexandria.

Unit cell a=7.4398 b=7.4398 c=7.4398 alpha=90.00 beta=90.00 gamma=90.00
Space group F-43m (No. 216)
Asymmetric unit:
Pr  0.0000  0.0000  0.0000 x4
Sm  0.0000  0.0000  0.5000 x4
Ga  0.2500  0.2500  0.7500 x4
Au  0.2500  0.2500  0.2500 x4

Output
The calculation puts the density of states at the Fermi level at 16.7 states/eV per cell.

=====

Arrangement B

First-principles (PBE) data for a geometry-optimized PrSmGaAu structure, as listed in Alexandria.

Unit cell a=4.6044 b=3.9684 c=11.4898 alpha=90.00 beta=90.00 gamma=90.00
Space group Amm2 (No. 38)
Asymmetric unit:
Pr  0.0000  0.0000  0.0000 x2
Sm  0.5000  0.0000  0.7170 x2
Ga  0.5000  0.0000  0.4348 x2
Au  0.0000  0.0000  0.2774 x2

Output
The calculation puts the density of states at the Fermi level at 7.5 states/eV per cell.

=====

Most stable of them? arrangement B.

=====

Arrangement A

First-principles (PBE) data for a geometry-optimized PrYGaAu structure, as listed in Alexandria.

Unit cell a=4.5650 b=3.9102 c=11.4643 alpha=90.00 beta=90.00 gamma=90.00
Space group Amm2 (No. 38)
Asymmetric unit:
Pr  0.0000  0.0000  0.0000 x2
Y  0.5000  0.0000  0.2834 x2
Ga  0.5000  0.0000  0.5698 x2
Au  0.0000  0.0000  0.7260 x2

Output
The calculation puts the density of states at the Fermi level at 7.4 states/eV per cell.

=====

Arrangement B

First-principles (PBE) data for a geometry-optimized PrYGaAu structure, as listed in Alexandria.

Unit cell a=7.3783 b=7.3783 c=7.3783 alpha=90.00 beta=90.00 gamma=90.00
Space group F-43m (No. 216)
Asymmetric unit:
Pr  0.0000  0.0000  0.0000 x4
Y  0.0000  0.0000  0.5000 x4
Ga  0.2500  0.2500  0.7500 x4
Au  0.2500  0.2500  0.2500 x4

Output
The calculation puts the density of states at the Fermi level at 15.4 states/eV per cell.

=====

Most stable of them? arrangement A.